# 1
## Sc8Ag (PBE)

Data for Sc8Ag after structural relaxation.

Cell: 10.790 10.790 3.628 Å, 90.00 90.00 90.00°
Space group I4/mmm (No. 139)
Asymmetric unit:
Sc1 0.000 0.339 0.000
Sc2 0.159 0.159 0.500
Ag1 0.000 0.000 0.000

Computed properties:
As for the formation energy: 0.023 eV/atom. The density comes out at 3.7 g/cm3.

---

# 2
## Sc5Ag3 (PBE)

Data for Sc5Ag3 after structural relaxation.

Cell: 7.141 9.790 4.866 Å, 90.00 90.00 90.00°
Space group Cmmm (No. 65)
Asymmetric unit:
Sc1 0.000 0.000 0.000
Sc2 0.227 0.500 0.500
Sc3 0.250 0.250 0.000
Ag1 0.000 0.223 0.500
Ag2 0.000 0.500 0.000

Computed properties:
As for the formation energy: -0.135 eV/atom. The density comes out at 5.4 g/cm3. As for the energy above the most stable polymorph in this dataset: 0.0478 eV/atom.

---

# 3
## Sc4Ag (PBE)

Data for Sc4Ag after structural relaxation.

Cell: 3.846 3.846 16.560 Å, 90.00 90.00 90.00°
Space group I4/mmm (No. 139)
Asymmetric unit:
Sc1 0.000 0.000 0.089
Sc2 0.000 0.500 0.250
Ag1 0.000 0.000 0.500

Computed properties:
As for the formation energy: 0.364 eV/atom. The density comes out at 3.9 g/cm3. As for the energy above the most stable polymorph in this dataset: 0.4352 eV/atom.